# 1
A geometry-optimized ZrAg3I2F6 structure. Source: Alexandria, functional PBE-GGA.

- SG: C2/m (12)
- Uncorrected formation energy: -1893 meV/atom
- Calculated total energy: -4.51 eV/atom
- Mass density: 5.1 g/cm³

a = 7.982 Å, b = 7.982 Å, c = 5.214 Å
α = 91.05°, β = 91.05°, γ = 50.54°
Positions (direct):
Zr 0.000 0.000 0.000
Ag 0.000 0.500 0.000
Ag 0.500 0.000 0.000
Ag 0.500 0.500 0.500
I 0.308 0.308 0.381
I 0.692 0.692 0.619
F 0.129 0.129 0.836
F 0.169 0.734 0.762
F 0.266 0.831 0.238
F 0.734 0.169 0.762
F 0.831 0.266 0.238
F 0.871 0.871 0.164

# 2
A geometry-optimized InAg2F8 structure. Source: Alexandria, functional PBE-GGA.

- SG: P-3 (147)
- Uncorrected formation energy: -1438 meV/atom
- Calculated total energy: -3.57 eV/atom
- Mass density: 4.7 g/cm³

a = 6.858 Å, b = 6.858 Å, c = 4.192 Å
α = 90.00°, β = 90.00°, γ = 120.00°
Positions (direct):
In 0.000 0.000 0.000
Ag 0.333 0.667 0.244
Ag 0.667 0.333 0.756
F 0.151 0.847 0.259
F 0.153 0.304 0.259
F 0.304 0.151 0.741
F 0.333 0.667 0.746
F 0.667 0.333 0.254
F 0.696 0.849 0.259
F 0.847 0.696 0.741
F 0.849 0.153 0.741

# 3
A geometry-optimized In3AgF structure. Source: Alexandria, functional PBE-GGA.

- SG: Pm-3m (221)
- Uncorrected formation energy: -203 meV/atom
- Calculated total energy: -2.79 eV/atom
- Polymorph energy (0 for the lowest one): 0.177 eV per atom
- Mass density: 5.1 g/cm³

a = 5.360 Å, b = 5.360 Å, c = 5.360 Å
α = 90.00°, β = 90.00°, γ = 90.00°
Positions (direct):
In 0.000 0.000 0.500
In 0.000 0.500 0.000
In 0.500 0.000 0.000
Ag 0.000 0.000 0.000
F 0.500 0.500 0.500

# 4
A geometry-optimized InAgF4 structure. Source: Alexandria, functional PBE-GGA.

- SG: Cmmm (65)
- Uncorrected formation energy: -1989 meV/atom
- Calculated total energy: -4.17 eV/atom
- Polymorph energy (0 for the lowest one): 0.022 eV per atom
- Mass density: 4.8 g/cm³

a = 5.467 Å, b = 5.467 Å, c = 3.427 Å
α = 90.00°, β = 90.00°, γ = 92.63°
Positions (direct):
In 0.000 0.000 0.000
Ag 0.500 0.500 0.500
F 0.170 0.830 0.500
F 0.272 0.272 0.000
F 0.728 0.728 0.000
F 0.830 0.170 0.500

# 5
A geometry-optimized In2Ag2F7 structure. Source: Alexandria, functional PBE-GGA.

- SG: C2/m (12)
- Uncorrected formation energy: -1867 meV/atom
- Calculated total energy: -4.07 eV/atom
- Mass density: 5.8 g/cm³

a = 5.379 Å, b = 5.379 Å, c = 5.763 Å
α = 90.11°, β = 90.11°, γ = 82.93°
Positions (direct):
In 0.224 0.224 0.000
In 0.776 0.776 0.000
Ag 0.300 0.700 0.500
Ag 0.700 0.300 0.500
F 0.000 0.000 0.222
F 0.000 0.000 0.778
F 0.000 0.499 0.772
F 0.000 0.501 0.228
F 0.499 0.000 0.772
F 0.500 0.500 0.000
F 0.501 0.000 0.228

# 6
A geometry-optimized InAgF4 structure. Source: Alexandria, functional PBE-GGA.

- SG: P2_1/c (14)
- Uncorrected formation energy: -2011 meV/atom
- Calculated total energy: -4.19 eV/atom
- Polymorph energy (0 for the lowest one): 0.000 eV per atom
- Mass density: 5.2 g/cm³

a = 6.086 Å, b = 5.412 Å, c = 5.857 Å
α = 90.00°, β = 100.87°, γ = 90.00°
Positions (direct):
In 0.000 0.000 0.000
In 0.000 0.500 0.500
Ag 0.500 0.000 0.500
Ag 0.500 0.500 0.000
F 0.115 0.195 0.726
F 0.115 0.305 0.226
F 0.312 0.651 0.618
F 0.312 0.849 0.118
F 0.688 0.151 0.882
F 0.688 0.349 0.382
F 0.885 0.695 0.774
F 0.885 0.805 0.274

# 7
A geometry-optimized InAgF2 structure. Source: Alexandria, functional PBE-GGA.

- SG: I-42d (122)
- Uncorrected formation energy: -1277 meV/atom
- Calculated total energy: -3.61 eV/atom
- Polymorph energy (0 for the lowest one): 0.000 eV per atom
- Mass density: 5.5 g/cm³

a = 7.860 Å, b = 7.860 Å, c = 7.860 Å
α = 145.02°, β = 145.02°, γ = 50.30°
Positions (direct):
In 0.000 0.000 0.000
In 0.750 0.250 0.500
Ag 0.250 0.750 0.500
Ag 0.500 0.500 0.000
F 0.152 0.625 0.027
F 0.375 0.402 0.527
F 0.598 0.125 0.973
F 0.875 0.848 0.473

# 8
A geometry-optimized In5Ag3F12 structure. Source: Alexandria, functional PBE-GGA.

- SG: Ia-3d (230)
- Uncorrected formation energy: -1770 meV/atom
- Calculated total energy: -4.01 eV/atom
- Mass density: 5.1 g/cm³

a = 12.379 Å, b = 12.379 Å, c = 12.379 Å
α = 109.47°, β = 109.47°, γ = 109.47°
Positions (direct):
In 0.000 0.000 0.000
In 0.000 0.000 0.500
In 0.000 0.500 0.000
In 0.000 0.500 0.500
In 0.125 0.750 0.875
In 0.125 0.875 0.250
In 0.250 0.125 0.875
In 0.250 0.625 0.375
In 0.375 0.250 0.625
In 0.375 0.625 0.750
In 0.500 0.000 0.000
In 0.500 0.000 0.500
In 0.500 0.500 0.000
In 0.500 0.500 0.500
In 0.625 0.375 0.250
In 0.625 0.750 0.375
In 0.750 0.375 0.625
In 0.750 0.875 0.125
In 0.875 0.125 0.750
In 0.875 0.250 0.125
Ag 0.125 0.250 0.375
Ag 0.125 0.375 0.750
Ag 0.250 0.375 0.125
Ag 0.250 0.875 0.625
Ag 0.375 0.125 0.250
Ag 0.375 0.750 0.125
Ag 0.625 0.250 0.875
Ag 0.625 0.875 0.750
Ag 0.750 0.125 0.375
Ag 0.750 0.625 0.875
Ag 0.875 0.625 0.250
Ag 0.875 0.750 0.625
F 0.042 0.199 0.086
F 0.042 0.343 0.955
F 0.045 0.586 0.387
F 0.045 0.958 0.657
F 0.086 0.042 0.199
F 0.086 0.545 0.887
F 0.113 0.699 0.657
F 0.113 0.914 0.455
F 0.157 0.199 0.613
F 0.157 0.458 0.545
F 0.199 0.086 0.042
F 0.199 0.613 0.157
F 0.301 0.343 0.887
F 0.301 0.458 0.414
F 0.343 0.887 0.301
F 0.343 0.955 0.042
F 0.387 0.045 0.586
F 0.387 0.843 0.801
F 0.414 0.301 0.458
F 0.414 0.613 0.955
F 0.455 0.113 0.914
F 0.455 0.843 0.542
F 0.458 0.414 0.301
F 0.458 0.545 0.157
F 0.542 0.455 0.843
F 0.542 0.586 0.699
F 0.545 0.157 0.458
F 0.545 0.887 0.086
F 0.586 0.387 0.045
F 0.586 0.699 0.542
F 0.613 0.157 0.199
F 0.613 0.955 0.414
F 0.657 0.045 0.958
F 0.657 0.113 0.699
F 0.699 0.542 0.586
F 0.699 0.657 0.113
F 0.801 0.387 0.843
F 0.801 0.914 0.958
F 0.843 0.542 0.455
F 0.843 0.801 0.387
F 0.887 0.086 0.545
F 0.887 0.301 0.343
F 0.914 0.455 0.113
F 0.914 0.958 0.801
F 0.955 0.042 0.343
F 0.955 0.414 0.613
F 0.958 0.657 0.045
F 0.958 0.801 0.914

# 9
A geometry-optimized InAg2F structure. Source: Alexandria, functional PBE-GGA.

- SG: I-42d (122)
- Uncorrected formation energy: -511 meV/atom
- Calculated total energy: -3.09 eV/atom
- Polymorph energy (0 for the lowest one): 0.000 eV per atom
- Mass density: 7.7 g/cm³

a = 5.910 Å, b = 5.910 Å, c = 5.910 Å
α = 102.40°, β = 102.40°, γ = 124.80°
Positions (direct):
In 0.000 0.000 0.000
In 0.750 0.250 0.500
Ag 0.166 0.625 0.041
Ag 0.375 0.416 0.541
Ag 0.584 0.125 0.959
Ag 0.875 0.834 0.459
F 0.250 0.750 0.500
F 0.500 0.500 0.000

# 10
A geometry-optimized In3AgF structure. Source: Alexandria, functional PBE-GGA.

- SG: Pm-3m (221)
- Uncorrected formation energy: -380 meV/atom
- Calculated total energy: -2.97 eV/atom
- Polymorph energy (0 for the lowest one): 0.000 eV per atom
- Mass density: 6.2 g/cm³

a = 5.008 Å, b = 5.008 Å, c = 5.008 Å
α = 90.00°, β = 90.00°, γ = 90.00°
Positions (direct):
In 0.000 0.000 0.500
In 0.000 0.500 0.000
In 0.500 0.000 0.000
Ag 0.500 0.500 0.500
F 0.000 0.000 0.000

# 11
A geometry-optimized InAg2F structure. Source: Alexandria, functional PBE-GGA.

- SG: Fm-3m (225)
- Uncorrected formation energy: -363 meV/atom
- Calculated total energy: -2.94 eV/atom
- Polymorph energy (0 for the lowest one): 0.148 eV per atom
- Mass density: 7.9 g/cm³

a = 4.696 Å, b = 4.696 Å, c = 4.696 Å
α = 60.00°, β = 60.00°, γ = 60.00°
Positions (direct):
In 0.000 0.000 0.000
Ag 0.250 0.250 0.250
Ag 0.750 0.750 0.750
F 0.500 0.500 0.500

# 12
A geometry-optimized InAgF2 structure. Source: Alexandria, functional PBE-GGA.

- SG: Fm-3m (225)
- Uncorrected formation energy: -1235 meV/atom
- Calculated total energy: -3.57 eV/atom
- Polymorph energy (0 for the lowest one): 0.042 eV per atom
- Mass density: 6.7 g/cm³

a = 4.497 Å, b = 4.497 Å, c = 4.497 Å
α = 60.00°, β = 60.00°, γ = 60.00°
Positions (direct):
In 0.000 0.000 0.000
Ag 0.500 0.500 0.500
F 0.250 0.250 0.250
F 0.750 0.750 0.750

# 13
A geometry-optimized InAg4F8 structure. Source: Alexandria, functional PBE-GGA.

- SG: R-3m (166)
- Uncorrected formation energy: -1421 meV/atom
- Calculated total energy: -3.66 eV/atom
- Mass density: 4.8 g/cm³

a = 6.975 Å, b = 6.975 Å, c = 6.975 Å
α = 59.89°, β = 59.89°, γ = 59.89°
Positions (direct):
In 0.000 0.000 0.000
Ag 0.000 0.000 0.500
Ag 0.000 0.500 0.000
Ag 0.500 0.000 0.000
Ag 0.500 0.500 0.500
F 0.212 0.783 0.783
F 0.217 0.217 0.788
F 0.217 0.788 0.217
F 0.221 0.221 0.221
F 0.779 0.779 0.779
F 0.783 0.212 0.783
F 0.783 0.783 0.212
F 0.788 0.217 0.217

# 14
A geometry-optimized In4AgF12 structure. Source: Alexandria, functional PBE-GGA.

- SG: Immm (71)
- Uncorrected formation energy: -2279 meV/atom
- Calculated total energy: -4.41 eV/atom
- Mass density: 4.5 g/cm³

a = 7.251 Å, b = 7.251 Å, c = 7.251 Å
α = 110.72°, β = 108.90°, γ = 108.81°
Positions (direct):
In 0.000 0.000 0.500
In 0.000 0.500 0.000
In 0.500 0.000 0.000
In 0.500 0.500 0.500
Ag 0.000 0.000 0.000
F 0.001 0.707 0.294
F 0.245 0.198 0.444
F 0.245 0.802 0.047
F 0.249 0.051 0.802
F 0.249 0.447 0.198
F 0.413 0.707 0.706
F 0.587 0.293 0.294
F 0.751 0.553 0.802
F 0.751 0.949 0.198
F 0.755 0.198 0.953
F 0.755 0.802 0.556
F 0.999 0.293 0.706

# 15
A geometry-optimized In2AgF structure. Source: Alexandria, functional PBE-GGA.

- SG: Fm-3m (225)
- Uncorrected formation energy: -618 meV/atom
- Calculated total energy: -3.17 eV/atom
- Polymorph energy (0 for the lowest one): 0.000 eV per atom
- Mass density: 7.3 g/cm³

a = 4.869 Å, b = 4.869 Å, c = 4.869 Å
α = 60.00°, β = 60.00°, γ = 60.00°
Positions (direct):
In 0.250 0.250 0.250
In 0.750 0.750 0.750
Ag 0.000 0.000 0.000
F 0.500 0.500 0.500

# 16
A geometry-optimized InAg3F7 structure. Source: Alexandria, functional PBE-GGA.

- SG: Cm (8)
- Uncorrected formation energy: -1570 meV/atom
- Calculated total energy: -3.79 eV/atom
- Mass density: 5.6 g/cm³

a = 5.586 Å, b = 5.586 Å, c = 6.727 Å
α = 115.58°, β = 115.58°, γ = 87.37°
Positions (direct):
In 0.000 0.000 0.000
Ag 0.241 0.728 0.525
Ag 0.494 0.494 0.035
Ag 0.728 0.241 0.525
F 0.098 0.098 0.744
F 0.112 0.649 0.775
F 0.273 0.872 0.264
F 0.345 0.345 0.250
F 0.649 0.112 0.775
F 0.690 0.690 0.890
F 0.872 0.273 0.264

# 17
A geometry-optimized InAgF2 structure. Source: Alexandria, functional PBE-GGA.

- SG: R-3m (166)
- Uncorrected formation energy: -1248 meV/atom
- Calculated total energy: -3.58 eV/atom
- Polymorph energy (0 for the lowest one): 0.028 eV per atom
- Mass density: 4.7 g/cm³

a = 7.647 Å, b = 7.647 Å, c = 7.647 Å
α = 28.98°, β = 28.98°, γ = 28.98°
Positions (direct):
In 0.000 0.000 0.000
Ag 0.500 0.500 0.500
F 0.405 0.405 0.405
F 0.595 0.595 0.595

# 18
A geometry-optimized InAg4F6 structure. Source: Alexandria, functional PBE-GGA.

- SG: P4/mnc (128)
- Uncorrected formation energy: -1292 meV/atom
- Calculated total energy: -3.60 eV/atom
- Mass density: 6.1 g/cm³

a = 6.881 Å, b = 6.881 Å, c = 7.598 Å
α = 90.00°, β = 90.00°, γ = 90.00°
Positions (direct):
In 0.000 0.000 0.000
In 0.500 0.500 0.500
Ag 0.146 0.354 0.250
Ag 0.146 0.354 0.750
Ag 0.354 0.854 0.250
Ag 0.354 0.854 0.750
Ag 0.646 0.146 0.250
Ag 0.646 0.146 0.750
Ag 0.854 0.646 0.250
Ag 0.854 0.646 0.750
F 0.000 0.000 0.278
F 0.000 0.000 0.722
F 0.111 0.708 0.000
F 0.208 0.611 0.500
F 0.292 0.111 0.000
F 0.389 0.208 0.500
F 0.500 0.500 0.222
F 0.500 0.500 0.778
F 0.611 0.792 0.500
F 0.708 0.889 0.000
F 0.792 0.389 0.500
F 0.889 0.292 0.000

# 19
A geometry-optimized In2AgF structure. Source: Alexandria, functional PBE-GGA.

- SG: I-42d (122)
- Uncorrected formation energy: -595 meV/atom
- Calculated total energy: -3.14 eV/atom
- Polymorph energy (0 for the lowest one): 0.023 eV per atom
- Mass density: 5.9 g/cm³

a = 8.414 Å, b = 8.414 Å, c = 8.414 Å
α = 144.29°, β = 144.29°, γ = 51.39°
Positions (direct):
In 0.056 0.625 0.931
In 0.375 0.306 0.431
In 0.694 0.125 0.069
In 0.875 0.944 0.569
Ag 0.250 0.750 0.500
Ag 0.500 0.500 0.000
F 0.000 0.000 0.000
F 0.750 0.250 0.500